Entry 1:
## Ac2Rh2Au (GGA-PBE)

Data for Ac2Rh2Au after structural relaxation.

Structure (POSCAR):
```
Ac2Rh2Au
1.0
4.075 0.000 0.000
0.000 4.170 0.000
0.000 -2.085 7.438
Ac Rh Au
2 2 1
direct
0.500 0.633 0.267
0.500 0.367 0.733
0.000 0.189 0.379
0.000 0.811 0.621
0.000 0.000 0.000
```

## Properties
Space group: Cmmm (65)
Total DFT energy (no corrections), eV per atom: -5.949
Formation energy, eV per atom: -0.709

=====

Entry 2:
## Ac4Rh2Au5 (GGA-PBE)

Data for Ac4Rh2Au5 after structural relaxation.

Structure (POSCAR):
```
Ac4Rh2Au5
1.0
4.164 0.000 0.000
0.000 7.589 0.195
0.000 -0.490 9.243
Ac Rh Au
4 2 5
direct
0.500 0.761 0.606
0.500 0.215 0.851
0.500 0.239 0.394
0.500 0.785 0.149
0.000 0.051 0.642
0.000 0.949 0.358
0.000 0.574 0.356
0.000 0.155 0.118
0.000 0.500 0.000
0.000 0.845 0.882
0.000 0.426 0.644
```

## Properties
Space group: P2/m (10)
Total DFT energy (no corrections), eV per atom: -5.077
Formation energy, eV per atom: -0.757

=====

Entry 3:
## Ac5RhAu4 (GGA-PBE)

Data for Ac5RhAu4 after structural relaxation.

Structure (POSCAR):
```
Ac5RhAu4
1.0
3.850 0.000 0.000
0.000 3.850 0.000
0.000 0.000 19.582
Ac Rh Au
5 1 4
direct
0.500 0.500 0.091
0.500 0.500 0.296
0.500 0.500 0.500
0.500 0.500 0.704
0.500 0.500 0.909
0.000 0.000 0.000
0.000 0.000 0.197
0.000 0.000 0.398
0.000 0.000 0.602
0.000 0.000 0.803
```

## Properties
Space group: P4/mmm (123)
Total DFT energy (no corrections), eV per atom: -4.821
Relative energy among the computed polymorphs, kJ per mole of atoms: 5.9
Formation energy, eV per atom: -0.720

=====

- total DFT energy (no corrections) of number 3 (Ac5RhAu4)?
  -4.821 eV per atom